Record 1
Material: LaTb3NdDy
Method: DFT, PBE-GGA
State: optimized geometry

Calculated values
Total moment ... 0.000 μB per atom
ΔH_f (0 K) ... 0.183 eV per atom
E_tot ... -4.51 eV per atom
Crystal system ... monoclinic
D(E_F) ... 1.556 states/eV per atom

abc: 10.4248 10.4248 7.0640
angles: 90.47 90.47 31.69
Last column: nearest neighbours and their distance in Å.
Positions (direct):
La 0.1457 0.1457 0.0310  1 Dy 3.05, 2 Tb 3.20-3.34
La 0.8543 0.8543 0.9690  1 Dy 3.05, 2 Tb 3.20-3.34
Tb 0.0225 0.0225 0.7404  1 La 3.20, 1 Dy 3.22, 2 Nd 3.23, 1 Tb 3.51
Tb 0.2796 0.2796 0.7544  3 Dy 3.32-3.54, 3 La 3.34-3.55, 1 Nd 3.35, 3 Tb 3.62-3.66
Tb 0.3352 0.3352 0.2679  2 Dy 3.44, 2 La 3.57, 4 Tb 3.62-3.79
Tb 0.6648 0.6648 0.7321  2 Dy 3.44, 2 La 3.57, 4 Tb 3.62-3.79
Tb 0.7204 0.7204 0.2456  3 Dy 3.32-3.54, 3 La 3.34-3.55, 1 Nd 3.35, 3 Tb 3.62-3.66
Tb 0.9775 0.9775 0.2596  1 La 3.20, 1 Dy 3.22, 2 Nd 3.23, 1 Tb 3.51
Nd 0.4463 0.4463 0.7357  3 Tb 3.23-3.35
Nd 0.5537 0.5537 0.2643  3 Tb 3.23-3.35
Dy 0.1491 0.1491 0.4626  1 La 3.05, 2 Tb 3.22-3.32
Dy 0.8509 0.8509 0.5374  1 La 3.05, 2 Tb 3.22-3.32

---

Record 2
Material: CaMnSi2B6
Method: DFT, PBE-GGA
State: optimized geometry

Calculated values
Raw formation energy ... 123 meV per atom
Total moment ... 0.000 μB per atom
E_tot ... -6.08 eV per atom
Crystal system ... monoclinic
D(E_F) ... 0.360 states/eV per atom

abc: 6.6773 6.6773 6.7542
angles: 116.34 116.34 90.03
Last column: nearest neighbours and their distance in Å.
Positions (direct):
Ca 0.1875 0.8125 0.7500  10 B 2.71-3.02
Ca 0.8125 0.1875 0.2500  10 B 2.71-3.02
Mn 0.4172 0.5828 0.2500  6 B 2.04-2.14
Mn 0.5828 0.4172 0.7500  6 B 2.04-2.14
Si 0.0928 0.2982 0.8231  4 B 1.96-2.18
Si 0.2982 0.0928 0.3231  4 B 1.96-2.18
Si 0.7018 0.9072 0.6769  4 B 1.96-2.18
Si 0.9072 0.7018 0.1769  4 B 1.96-2.18
B 0.1192 0.5198 0.2790  2 B 1.67
B 0.1591 0.2620 0.1228  2 B 1.67-1.82
B 0.2620 0.1591 0.6228  2 B 1.67-1.82
B 0.3539 0.4629 0.4581  3 B 1.67-1.82
B 0.4629 0.3539 0.9581  3 B 1.67-1.82
B 0.4802 0.8808 0.2210  2 B 1.67
B 0.5198 0.1192 0.7790  2 B 1.67
B 0.5371 0.6461 0.0419  3 B 1.67-1.82
B 0.6461 0.5371 0.5419  3 B 1.67-1.82
B 0.7380 0.8409 0.3772  2 B 1.67-1.82
B 0.8409 0.7380 0.8772  2 B 1.67-1.82
B 0.8808 0.4802 0.7210  2 B 1.67

---

Record 3
Material: In3Re
Method: DFT, PBE-GGA
State: optimized geometry

Calculated values
Energy above the lowest structure with this stoichiometry ... 0.231 eV per atom
Total moment ... 0.000 μB per atom
ΔH_f (0 K) ... 0.517 eV per atom
E_tot ... -4.65 eV per atom
Crystal system ... orthorhombic
D(E_F) ... 0.676 states/eV per atom

abc: 5.5365 5.5365 5.5365
angles: 142.43 69.74 123.61
Last column: nearest neighbours and their distance in Å.
Positions (direct):
In 0.0000 0.0000 0.0000  2 Re 2.78, 2 In 2.97
In 0.1973 0.4187 0.7786  3 Re 2.84-3.05, 3 In 2.97-3.12
In 0.6401 0.4187 0.2214  3 Re 2.84-3.05, 3 In 2.97-3.12
Re 0.5922 0.0922 0.5000  8 In 2.78-3.05

---

Record 4
Material: HfSc2Te
Method: DFT, PBE-GGA
State: optimized geometry

Calculated values
Raw formation energy ... -456 meV per atom
Total moment ... 0.000 μB per atom
E_tot ... -6.90 eV per atom
Crystal system ... tetragonal
D(E_F) ... 1.358 states/eV per atom

abc: 3.6815 3.6815 6.7223
angles: 90.00 90.00 90.00
Last column: nearest neighbours and their distance in Å.
Positions (direct):
Hf 0.0000 0.0000 0.0000  8 Sc 3.13, 2 Te 3.36
Sc 0.5000 0.5000 0.2586  4 Te 3.07, 4 Hf 3.13, 1 Sc 3.25
Sc 0.5000 0.5000 0.7414  4 Te 3.07, 4 Hf 3.13, 1 Sc 3.25
Te 0.0000 0.0000 0.5000  8 Sc 3.07, 2 Hf 3.36

---

Record 5
Material: Ba3TbTc2O9
Method: DFT, PBE-GGA
State: optimized geometry

Calculated values
Raw formation energy ... -2397 meV per atom
Total moment ... 0.000 μB per atom
E_tot ... -7.45 eV per atom
Crystal system ... trigonal
D(E_F) ... 0.477 states/eV per atom

abc: 5.8859 5.8859 7.2187
angles: 90.00 90.00 120.00
Last column: nearest neighbours and their distance in Å.
Positions (direct):
Ba 0.0000 0.0000 0.0000  12 O 2.91-2.94
Ba 0.3333 0.6667 0.6641  12 O 2.95-2.98
Ba 0.6667 0.3333 0.3359  12 O 2.95-2.98
Tb 0.0000 0.0000 0.5000  6 O 2.24
Tc 0.3333 0.6667 0.1504  6 O 1.99-2.02
Tc 0.6667 0.3333 0.8496  6 O 1.99-2.02
O 0.0000 0.5000 0.0000  2 Tc 2.02
O 0.1771 0.3542 0.3159  1 Tc 1.99
O 0.1771 0.8229 0.3159  1 Tc 1.99
O 0.3542 0.1771 0.6841  1 Tc 1.99
O 0.5000 0.0000 0.0000  2 Tc 2.02
O 0.5000 0.5000 0.0000  2 Tc 2.02
O 0.6458 0.8229 0.3159  1 Tc 1.99
O 0.8229 0.1771 0.6841  1 Tc 1.99
O 0.8229 0.6458 0.6841  1 Tc 1.99

---

Record 6
Material: Li2Pr3Ir7
Method: DFT, PBE-GGA
State: optimized geometry

Calculated values
Total moment ... 0.000 μB per atom
ΔH_f (0 K) ... -0.500 eV per atom
E_tot ... -7.18 eV per atom
Crystal system ... trigonal
D(E_F) ... 0.979 states/eV per atom

abc: 9.0930 9.0930 9.0930
angles: 34.72 34.72 34.72
Last column: nearest neighbours and their distance in Å.
Positions (direct):
Li 0.1642 0.1642 0.1642  6 Ir 2.59-2.66
Li 0.8358 0.8358 0.8358  6 Ir 2.59-2.66
Pr 0.3592 0.3592 0.3592  12 Ir 3.10-3.22, 3 Pr 3.40
Pr 0.5000 0.5000 0.5000  6 Li 3.13, 12 Ir 3.44
Pr 0.6408 0.6408 0.6408  12 Ir 3.10-3.22, 3 Pr 3.40
Ir 0.0000 0.0000 0.0000  6 Ir 2.68
Ir 0.0850 0.0850 0.5770  2 Li 2.59-2.66, 5 Ir 2.67-2.76
Ir 0.0850 0.5770 0.0850  2 Li 2.59-2.66, 5 Ir 2.67-2.76
Ir 0.4230 0.9150 0.9150  2 Li 2.59-2.66, 5 Ir 2.67-2.76
Ir 0.5770 0.0850 0.0850  2 Li 2.59-2.66, 5 Ir 2.67-2.76
Ir 0.9150 0.4230 0.9150  2 Li 2.59-2.66, 5 Ir 2.67-2.76
Ir 0.9150 0.9150 0.4230  2 Li 2.59-2.66, 5 Ir 2.67-2.76